An optimized crystal structure of Ac2Zn3GaPt4. Source: Alexandria via LeMat-Bulk, functional GGA-PBE.

Cell lengths 4.4252, 4.4252, 10.5244 Å; angles 90.00, 90.00, 90.00 degrees
Closest atoms and distances in Å follow each position.
Fractional positions:
Pt1 0.0000 0.0000 0.0000  4 Zn 2.58
Pt2 0.0000 0.5000 0.3698  3 Zn 2.56-2.60, 2 Ga 2.60
Pt3 0.5000 0.5000 0.0000  4 Zn 2.58
Pt4 0.5000 0.0000 0.6302  3 Zn 2.56-2.60, 2 Ga 2.60
Ac1 0.5000 0.0000 0.2404  6 Zn 3.35-3.52, 8 Pt 3.36-3.41, 2 Ga 3.52
Ac2 0.0000 0.5000 0.7596  6 Zn 3.35-3.52, 8 Pt 3.36-3.41, 2 Ga 3.52
Ga1 0.5000 0.5000 0.5000  4 Pt 2.60
Zn1 0.5000 0.0000 0.8738  5 Pt 2.56-2.58
Zn2 0.0000 0.5000 0.1262  5 Pt 2.56-2.58
Zn3 0.0000 0.0000 0.5000  4 Pt 2.60

## Properties
* E_form: -8.37 eV/f.u.
* M_tot: 0.000 μB per atom

An optimized crystal structure of PmPrSmY2. Source: Alexandria via LeMat-Bulk, functional GGA-PBE.

Cell lengths 6.6076, 8.5469, 6.2290 Å; angles 95.28, 90.00, 90.00 degrees
Closest atoms and distances in Å follow each position.
Fractional positions:
Pm1 0.4351 0.0000 0.7500  2 Y 3.15, 2 Pm 3.23, 2 Pr 3.27
Pm2 0.5649 0.0000 0.2500  2 Y 3.15, 2 Pm 3.23, 2 Pr 3.27
Pr1 0.0000 0.0000 0.0000  2 Pr 3.11, 2 Pm 3.27
Pr2 0.0000 0.0000 0.5000  2 Pr 3.11, 2 Pm 3.27
Sm1 0.8315 0.5000 0.2500  8 Y 3.57-3.78, 2 Sm 3.83
Sm2 0.1685 0.5000 0.7500  8 Y 3.57-3.78, 2 Sm 3.83
Y1 0.3139 0.3105 0.2222  1 Pm 3.15, 1 Y 3.23
Y2 0.6861 0.6895 0.7778  1 Pm 3.15, 1 Y 3.23
Y3 0.3139 0.6895 0.2778  1 Pm 3.15, 1 Y 3.23
Y4 0.6861 0.3105 0.7222  1 Pm 3.15, 1 Y 3.23

## Properties
* E_form: 1.41 eV/f.u.
* M_tot: 0.000 μB per atom

An optimized crystal structure of YAgTe2. Source: Alexandria via LeMat-Bulk, functional GGA-PBE.

Cell lengths 7.0653, 7.0653, 4.1992 Å; angles 90.00, 90.00, 33.24 degrees
Closest atoms and distances in Å follow each position.
Fractional positions:
Te1 0.7732 0.7732 0.6251  4 Ag 2.94, 2 Y 3.11
Te2 0.0327 0.0327 0.1249  1 Ag 2.90, 4 Y 3.13-3.14
Y1 0.4473 0.4473 0.6248  6 Te 3.11-3.14, 2 Ag 3.43
Ag1 0.2469 0.2469 0.1253  5 Te 2.90-2.94

## Properties
* formation energy (no corrections): -0.862 eV/atom
* M_tot: 0.000 μB per atom

An optimized crystal structure of KYZn2. Source: Alexandria via LeMat-Bulk, functional GGA-PBE.

Cell lengths 8.2720, 8.2720, 6.8813 Å; angles 53.06, 53.06, 90.00 degrees
Closest atoms and distances in Å follow each position.
Fractional positions:
Zn1 0.0969 0.6250 0.2500  2 Y 2.91, 2 K 3.22
Zn2 0.3750 0.3469 0.7500  2 Y 2.91, 2 K 3.22
Zn3 0.8750 0.9031 0.7500  2 Y 2.91, 2 K 3.22
Zn4 0.6531 0.1250 0.2500  2 Y 2.91, 2 K 3.22
K1 0.5000 0.5000 0.0000  4 Zn 3.22
K2 0.2500 0.7500 0.5000  4 Zn 3.22
Y1 0.0000 0.0000 0.0000  4 Zn 2.91
Y2 0.7500 0.2500 0.5000  4 Zn 2.91

## Properties
* E_form: 1.48 eV/f.u.
* M_tot: 0.000 μB per atom
* distance to the lowest polymorph of the same formula: 1.598 eV per formula unit

An optimized crystal structure of Fe2MoAs. Source: Alexandria via LeMat-Bulk, functional GGA-PBE.

Cell lengths 8.1308, 8.1308, 8.1308 Å; angles 19.71, 19.71, 19.71 degrees
Closest atoms and distances in Å follow each position.
Fractional positions:
Fe1 0.0040 0.0040 0.0040  3 As 2.49, 3 Mo 2.63, 6 Fe 2.78
Fe2 0.4960 0.4960 0.4960  3 As 2.49, 3 Mo 2.63, 6 Fe 2.78
Mo1 0.2500 0.2500 0.2500  6 Fe 2.63, 6 Mo 2.78
As1 0.7500 0.7500 0.7500  6 Fe 2.49, 6 As 2.78

## Properties
* E_form: 0.98 eV/f.u.
* M_tot: 0.610 μB per atom

An optimized crystal structure of CeAgTe2. Source: Alexandria via LeMat-Bulk, functional GGA-PBE.

Cell lengths 4.7215, 4.7215, 9.0420 Å; angles 74.87, 74.87, 60.00 degrees
Closest atoms and distances in Å follow each position.
Fractional positions:
Ce1 0.5000 0.5000 0.5000  6 Te 3.20
Te1 0.1022 0.1022 0.6934  1 Ag 2.64
Te2 0.8978 0.8978 0.3066  1 Ag 2.64
Ag1 0.0000 0.0000 0.0000  2 Te 2.64

## Properties
* formation energy (no corrections): -0.758 eV/atom
* M_tot: 0.250 μB per atom

An optimized crystal structure of Tm6Tl5In. Source: Alexandria via LeMat-Bulk, functional GGA-PBE.

Cell lengths 6.3406, 9.8533, 7.4118 Å; angles 48.34, 81.53, 77.20 degrees
Closest atoms and distances in Å follow each position.
Fractional positions:
Tl1 0.0000 0.3303 0.3394  6 Tm 3.19-3.21
Tl2 0.0000 0.6697 0.6606  6 Tm 3.19-3.21
Tl3 0.5000 0.5000 0.0000  6 Tm 3.19-3.22
Tl4 0.5000 0.1639 0.6722  6 Tm 3.20-3.22
Tl5 0.5000 0.8361 0.3278  6 Tm 3.20-3.22
Tm1 0.7498 0.0846 0.3316  5 Tl 3.19-3.22, 1 In 3.20
Tm2 0.7542 0.7486 0.0000  5 Tl 3.20-3.22, 1 In 3.21
Tm3 0.2502 0.9154 0.6684  5 Tl 3.19-3.22, 1 In 3.20
Tm4 0.7498 0.4162 0.6684  5 Tl 3.19-3.22, 1 In 3.20
Tm5 0.2502 0.5838 0.3316  5 Tl 3.19-3.22, 1 In 3.20
Tm6 0.2458 0.2514 0.0000  5 Tl 3.20-3.22, 1 In 3.21
In1 0.0000 0.0000 0.0000  6 Tm 3.20-3.21

## Properties
* E_form: -2.91 eV/f.u.
* M_tot: 0.000 μB per atom
* distance to the lowest polymorph of the same formula: 0.818 eV per formula unit

An optimized crystal structure of DySbO3. Source: Alexandria via LeMat-Bulk, functional GGA-PBE.

Cell lengths 4.2314, 4.2314, 4.2314 Å; angles 90.00, 90.00, 90.00 degrees
Closest atoms and distances in Å follow each position.
Fractional positions:
Dy1 0.5000 0.5000 0.5000  12 O 2.99
Sb1 0.0000 0.0000 0.0000  6 O 2.12
O1 0.5000 0.0000 0.0000  2 Sb 2.12
O2 0.0000 0.5000 0.0000  2 Sb 2.12
O3 0.0000 0.0000 0.5000  2 Sb 2.12

## Properties
* formation energy (no corrections): -1.478 eV/atom
* M_tot: 0.000 μB per atom

An optimized crystal structure of ZrOs2Pt. Source: Alexandria via LeMat-Bulk, functional GGA-PBE.

Cell lengths 4.9051, 4.9051, 4.8927 Å; angles 79.97, 79.97, 34.32 degrees
Closest atoms and distances in Å follow each position.
Fractional positions:
Zr1 0.2515 0.2515 0.2595  3 Pt 2.76-2.87, 7 Os 2.76-2.96, 2 Zr 2.89
Os1 0.0078 0.0078 0.9583  5 Os 2.67-2.89, 2 Pt 2.68, 3 Zr 2.94-2.96
Os2 0.7453 0.7453 0.7806  5 Os 2.67-2.89, 4 Zr 2.76-2.92, 3 Pt 2.88-2.92
Pt1 0.4954 0.4954 0.5016  5 Os 2.68-2.92, 3 Zr 2.76-2.87, 2 Pt 2.89

## Properties
* E_form: -0.67 eV/f.u.
* M_tot: 0.000 μB per atom

An optimized crystal structure of AsAuNF. Source: Alexandria via LeMat-Bulk, functional GGA-PBE.

Cell lengths 4.0361, 4.7574, 4.8555 Å; angles 93.03, 114.27, 90.32 degrees
Closest atoms and distances in Å follow each position.
Fractional positions:
As1 0.0746 0.7017 0.4149  1 N 1.65
N1 0.2402 0.5737 0.7523  1 As 1.65
F1 0.5727 0.0526 0.4208  1 Au 2.04
Au1 0.4104 0.3385 0.0945  1 N 1.94, 1 F 2.04

## Properties
* formation energy (no corrections): -0.031 eV/atom
* M_tot: 0.000 μB per atom
* distance to the lowest polymorph of the same formula: 1.517 eV per formula unit

An optimized crystal structure of TmLu2Zr. Source: Alexandria via LeMat-Bulk, functional GGA-PBE.

Cell lengths 3.9437, 3.9437, 7.1443 Å; angles 90.00, 90.00, 90.00 degrees
Closest atoms and distances in Å follow each position.
Fractional positions:
Lu1 0.0000 0.0000 0.7286  4 Zr 3.23, 1 Lu 3.27, 4 Tm 3.40
Lu2 0.0000 0.0000 0.2714  4 Zr 3.23, 1 Lu 3.27, 4 Tm 3.40
Zr1 0.5000 0.5000 0.5000  8 Lu 3.23, 2 Tm 3.57
Tm1 0.5000 0.5000 0.0000  8 Lu 3.40, 2 Zr 3.57

## Properties
* E_form: 0.63 eV/f.u.
* M_tot: 0.000 μB per atom
* distance to the lowest polymorph of the same formula: 0.363 eV per formula unit

An optimized crystal structure of BaZnNi2Mo. Source: Alexandria via LeMat-Bulk, functional GGA-PBE.

Cell lengths 4.5896, 5.5018, 4.5896 Å; angles 90.00, 90.00, 90.00 degrees
Closest atoms and distances in Å follow each position.
Fractional positions:
Zn1 0.0000 0.0000 0.0000  4 Ni 2.29
Ba1 0.0000 0.5000 0.0000  2 Zn 2.75
Ni1 0.0000 0.0000 0.5000  2 Zn 2.29
Ni2 0.5000 0.0000 0.0000  2 Zn 2.29
Mo1 0.5000 0.5000 0.5000  4 Ba 3.25, 8 Ni 3.58

## Properties
* E_form: 6.76 eV/f.u.
* M_tot: 0.796 μB per atom

Number 1: uncorrected energy -0.3499 Ry per atom. Number 2: uncorrected energy -0.3788 Ry per atom. Number 3: uncorrected energy -0.3500 Ry per atom. Number 4: uncorrected energy -0.1586 Ry per atom. Number 5: uncorrected energy -0.5774 Ry per atom. Number 6: uncorrected energy -0.3326 Ry per atom. Number 7: uncorrected energy -0.2714 Ry per atom. Number 8: uncorrected energy -0.4555 Ry per atom. Number 9: uncorrected energy -0.6930 Ry per atom. Number 10: uncorrected energy -0.3353 Ry per atom. Number 11: uncorrected energy -0.3939 Ry per atom. Number 12: uncorrected energy -0.2768 Ry per atom.